(1)
The following is a DFT calculation (PBE) of a relaxed LaPm5DyEr2 crystal.

Geometry as POSCAR:
```
LaPm5DyEr2
1.0
-4.411 -3.441 1.099
2.239 -1.393 -10.167
6.748 -7.834 2.559
Dy Er Pm La
2 4 10 2
direct
0.801 0.601 0.511 Dy
0.199 0.399 0.011 Dy
0.113 0.226 0.734 Er
0.885 0.769 0.819 Er
0.115 0.231 0.319 Er
0.887 0.774 0.234 Er
0.480 0.959 0.740 Pm
0.520 0.041 0.240 Pm
0.296 0.593 0.707 Pm
0.281 0.561 0.314 Pm
0.719 0.439 0.814 Pm
0.983 0.966 0.524 Pm
0.614 0.228 0.524 Pm
0.386 0.772 0.024 Pm
0.017 0.034 0.024 Pm
0.704 0.407 0.207 Pm
0.416 0.832 0.451 La
0.584 0.168 0.951 La
```

Results
**DOS(E_F)**: 14.42 states/eV/f.u.
**Final energy**: -0.3351 Ry per atom

(2)
The following is a DFT calculation (PBE) of a relaxed TlAg2SeI crystal.

Geometry as POSCAR:
```
TlAg2SeI
1.0
4.541 0.000 0.000
0.000 7.764 0.250
0.000 -2.673 8.765
I Ag Se Tl
2 4 2 2
direct
0.250 0.288 0.565 I
0.750 0.712 0.435 I
0.750 0.457 0.090 Ag
0.250 0.474 0.313 Ag
0.250 0.543 0.910 Ag
0.750 0.526 0.687 Ag
0.250 0.255 0.041 Se
0.750 0.745 0.959 Se
0.750 0.067 0.801 Tl
0.250 0.933 0.199 Tl
```

Results
**Raw formation energy**: -257 meV per atom